No. 1
This record from Alexandria describes a geometry-optimized Be2CdTe structure. The functional is GGA-PBE.

relative energy among the computed polymorphs	430.1	meV per atom
raw formation energy	0.733	eV per atom
SG	P4/mmm

Cell: 4.4372 4.4372 3.6363 Å, 90.00 90.00 90.00°
Last column: nearest neighbours and their distance in Å.
Fractional positions:
Be (0.0000, 0.5000, 0.0000)  4 Cd 2.87, 4 Te 2.87, 4 Be 3.14
Be (0.5000, 0.0000, 0.0000)  4 Cd 2.87, 4 Te 2.87, 4 Be 3.14
Cd (0.0000, 0.0000, 0.5000)  8 Be 2.87, 4 Te 3.14
Te (0.5000, 0.5000, 0.5000)  8 Be 2.87, 4 Cd 3.14

***

No. 2
This record from Alexandria describes a geometry-optimized NdHo2Sn structure. The functional is GGA-PBE.

formation energy	-0.417	eV per atom
relative energy among the computed polymorphs	0.0	meV per atom
SG	P2_1/m

Cell: 4.6554 4.7272 11.4786 Å, 90.00 101.67 90.00°
Last column: nearest neighbours and their distance in Å.
Fractional positions:
Nd (0.1928, 0.2500, 0.3864)  5 Sn 3.25-3.39
Nd (0.8072, 0.7500, 0.6136)  5 Sn 3.25-3.39
Ho (0.0580, 0.7500, 0.1158)  2 Sn 3.31, 8 Ho 3.32-3.59
Ho (0.4363, 0.7500, 0.8726)  2 Sn 3.24, 6 Ho 3.32-3.59
Ho (0.5637, 0.2500, 0.1274)  2 Sn 3.24, 6 Ho 3.32-3.59
Ho (0.9420, 0.2500, 0.8842)  2 Sn 3.31, 8 Ho 3.32-3.59
Sn (0.3381, 0.2500, 0.6751)  4 Ho 3.24-3.31, 5 Nd 3.25-3.39
Sn (0.6619, 0.7500, 0.3249)  4 Ho 3.24-3.31, 5 Nd 3.25-3.39

***

No. 3
This record from Alexandria describes a geometry-optimized CaGaSb2Mo structure. The functional is GGA-PBE.

raw formation energy	0.342	eV per atom
SG	P4/mmm

Cell: 5.2220 5.2220 5.6222 Å, 90.00 90.00 90.00°
Last column: nearest neighbours and their distance in Å.
Fractional positions:
Ca (0.0000, 0.0000, 0.0000)  2 Mo 2.81
Ga (0.5000, 0.5000, 0.0000)  4 Ca 3.69, 8 Sb 3.84
Sb (0.0000, 0.5000, 0.5000)  2 Mo 2.61
Sb (0.5000, 0.0000, 0.5000)  2 Mo 2.61
Mo (0.0000, 0.0000, 0.5000)  4 Sb 2.61, 2 Ca 2.81

***

No. 4
This record from Alexandria describes a geometry-optimized Ca2TmMnSe4 structure. The functional is GGA-PBE.

raw formation energy	-1.516	eV per atom
SG	P2/m

Cell: 7.0281 4.0657 7.0951 Å, 90.00 109.76 90.00°
Last column: nearest neighbours and their distance in Å.
Fractional positions:
Ca (0.0000, 0.0000, 0.0000)  6 Se 2.95-2.97
Ca (0.5000, 0.5000, 0.0000)  6 Se 2.91-2.94
Tm (0.0000, 0.5000, 0.5000)  6 Se 2.84
Mn (0.5000, 0.0000, 0.5000)  6 Se 2.78-2.83
Se (0.2488, 0.0000, 0.7382)  1 Mn 2.83, 2 Tm 2.84, 3 Ca 2.91-2.95
Se (0.2626, 0.5000, 0.2708)  2 Mn 2.78, 1 Tm 2.84, 3 Ca 2.94-2.97
Se (0.7374, 0.5000, 0.7292)  2 Mn 2.78, 1 Tm 2.84, 3 Ca 2.94-2.97
Se (0.7512, 0.0000, 0.2618)  1 Mn 2.83, 2 Tm 2.84, 3 Ca 2.91-2.95

***

No. 5
This record from Alexandria describes a geometry-optimized Ce8Pt2Rh3 structure. The functional is GGA-PBE.

formation energy	-0.540	eV per atom
SG	C2/m

Cell: 8.5113 8.5113 6.8157 Å, 110.05 110.05 51.17°
Last column: nearest neighbours and their distance in Å.
Fractional positions:
Ce (0.1008, 0.1008, 0.4248)  3 Rh 2.71-2.88, 1 Pt 2.77
Ce (0.1439, 0.6268, 0.0832)  2 Rh 2.74-2.79, 2 Pt 2.85-2.98
Ce (0.3223, 0.3223, 0.4728)  2 Rh 3.02, 1 Pt 3.07, 1 Ce 3.29
Ce (0.3732, 0.8561, 0.9168)  2 Rh 2.74-2.79, 2 Pt 2.85-2.98
Ce (0.6268, 0.1439, 0.0832)  2 Rh 2.74-2.79, 2 Pt 2.85-2.98
Ce (0.6777, 0.6777, 0.5272)  2 Rh 3.02, 1 Pt 3.07, 1 Ce 3.29
Ce (0.8561, 0.3732, 0.9168)  2 Rh 2.74-2.79, 2 Pt 2.85-2.98
Ce (0.8992, 0.8992, 0.5752)  3 Rh 2.71-2.88, 1 Pt 2.77
Pt (0.2433, 0.2433, 0.8242)  6 Ce 2.77-3.07
Pt (0.7567, 0.7567, 0.1758)  6 Ce 2.77-3.07
Rh (0.0000, 0.0000, 0.0000)  6 Ce 2.71-2.79
Rh (0.3054, 0.6946, 0.5000)  6 Ce 2.74-3.02, 1 Rh 2.86
Rh (0.6946, 0.3054, 0.5000)  6 Ce 2.74-3.02, 1 Rh 2.86

***

No. 6
This record from Alexandria describes a geometry-optimized Cr2HIrPt structure. The functional is GGA-PBE.

relative energy among the computed polymorphs	46.6	meV per atom
SG	P4/mmm

Cell: 3.8175 3.8175 3.8348 Å, 90.00 90.00 90.00°
Last column: nearest neighbours and their distance in Å.
Fractional positions:
Cr (0.0000, 0.5000, 0.0000)  2 H 1.91
Cr (0.5000, 0.0000, 0.0000)  2 H 1.91
H (0.0000, 0.0000, 0.0000)  4 Cr 1.91, 2 Pt 1.92
Ir (0.5000, 0.5000, 0.5000)  4 Pt 2.70, 8 Cr 2.71
Pt (0.0000, 0.0000, 0.5000)  2 H 1.92

***

no.,DFT total energy (hartree per atom)
1,-0.0788
2,-0.1800
3,-0.1646
4,-0.2008
5,-0.2505
6,-0.2776